# 1
Compound: LaCN2
Source: the Alexandria database
Functional: PBE
Structure: optimized geometry

Results
As for the uncorrected formation energy: -0.65 eV/atom. The density of states at the Fermi level comes out at 4.06 states/eV/cell.

Cell lengths 5.506, 5.506, 6.250 Å; angles 90.00, 90.00, 120.00 degrees
Element x y z (fractional)
N1 0.166 0.406 0.421
N2 0.594 0.760 0.754
N3 0.406 0.166 0.579
N4 0.760 0.594 0.246
N5 0.240 0.834 0.088
N6 0.834 0.240 0.912
C1 0.761 0.000 0.833
C2 0.000 0.761 0.167
C3 0.239 0.239 0.500
La1 0.339 0.339 0.000
La2 0.000 0.661 0.667
La3 0.661 0.000 0.333


# 2
Compound: Th2TaCo9
Source: the Alexandria database
Functional: PBE
Structure: optimized geometry

Results
The density of states at the Fermi level comes out at 17.86 states/eV/cell. For the formation energy, the calculation gives -0.9 eV/f.u.

Cell lengths 4.808, 4.808, 8.808 Å; angles 74.16, 74.16, 60.00 degrees
Each line ends with the local moment (μB).
Element x y z (fractional)
Co1 0.575 0.077 0.773  0.14
Co2 0.333 0.333 0.000  0.03
Co3 0.425 0.923 0.227  0.14
Co4 0.500 0.500 0.500  0.10
Co5 0.667 0.667 0.000  0.03
Co6 0.425 0.425 0.227  0.14
Co7 0.077 0.575 0.773  0.14
Co8 0.575 0.575 0.773  0.14
Co9 0.923 0.425 0.227  0.14
Ta1 0.000 0.000 0.000  0.00
Th1 0.866 0.866 0.403  -0.03
Th2 0.134 0.134 0.597  -0.03


# 3
Compound: Li2EuNi
Source: the Alexandria database
Functional: PBE
Structure: optimized geometry

Results
The density of states at the Fermi level comes out at 3.55 states/eV/cell. For the formation energy, the calculation gives 1.7 eV/f.u.

Cell lengths 3.108, 3.108, 10.336 Å; angles 81.35, 81.35, 60.00 degrees
Each line ends with the local moment (μB).
Element x y z (fractional)
Eu1 0.000 0.000 0.000  7.43
Li1 0.893 0.893 0.322  -0.01
Li2 0.107 0.107 0.678  -0.01
Ni1 0.500 0.500 0.500  0.24


# 4
Compound: Tl4BrCl
Source: the Alexandria database
Functional: PBE
Structure: optimized geometry

Results
As for the uncorrected formation energy: -0.31 eV/atom. The density of states at the Fermi level comes out at 2.80 states/eV/cell.

Cell lengths 6.567, 6.567, 6.567 Å; angles 60.00, 60.00, 60.00 degrees
Element x y z (fractional)
Tl1 0.375 0.875 0.375
Tl2 0.375 0.375 0.875
Tl3 0.375 0.375 0.375
Tl4 0.875 0.375 0.375
Cl1 0.000 0.000 0.000
Br1 0.750 0.750 0.750


# 5
Compound: Sr3Li8Al3
Source: the Alexandria database
Functional: PBE
Structure: optimized geometry

Results
The density of states at the Fermi level comes out at 8.97 states/eV/cell. For the formation energy, the calculation gives -0.5 eV/f.u.

Cell lengths 4.546, 9.375, 9.375 Å; angles 68.62, 75.97, 75.97 degrees
Element x y z (fractional)
Li1 0.390 0.903 0.316
Li2 0.610 0.097 0.684
Li3 0.390 0.316 0.903
Li4 0.833 0.835 0.499
Li5 0.833 0.499 0.835
Li6 0.610 0.684 0.097
Li7 0.167 0.501 0.165
Li8 0.167 0.165 0.501
Al1 0.000 0.172 0.828
Al2 0.000 0.828 0.172
Al3 0.500 0.000 0.000
Sr1 0.194 0.806 0.806
Sr2 0.806 0.194 0.194
Sr3 0.500 0.500 0.500


# 6
Compound: Ac2CeNbN5
Source: the Alexandria database
Functional: PBE
Structure: optimized geometry

Results
As for the uncorrected formation energy: -1.22 eV/atom.

Cell lengths 3.652, 7.626, 11.171 Å; angles 90.00, 90.00, 103.85 degrees
Element x y z (fractional)
Ac1 0.860 0.719 0.783
Ac2 0.140 0.281 0.283
Ac3 0.113 0.226 0.700
Ac4 0.887 0.774 0.200
Nb1 0.510 0.020 0.969
Nb2 0.490 0.980 0.469
Ce1 0.787 0.573 0.502
Ce2 0.213 0.427 0.002
N1 0.505 0.010 0.298
N2 0.495 0.990 0.798
N3 0.951 0.902 0.534
N4 0.618 0.236 0.515
N5 0.304 0.609 0.376
N6 0.696 0.391 0.876
N7 0.382 0.764 0.015
N8 0.717 0.435 0.146
N9 0.283 0.565 0.646
N10 0.049 0.098 0.034


# 7
Compound: ZnIr2Pb2
Source: the Alexandria database
Functional: PBE
Structure: optimized geometry

Results
The density of states at the Fermi level comes out at 3.57 states/eV/cell. Its excess energy over the best structure of this formula in the dataset is 338 meV/atom. For the formation energy, the calculation gives 3.1 eV/f.u.

Cell lengths 6.575, 6.575, 6.575 Å; angles 140.10, 140.10, 57.70 degrees
Element x y z (fractional)
Zn1 0.000 0.000 0.000
Ir1 0.606 0.606 0.000
Ir2 0.394 0.394 0.000
Pb1 0.250 0.750 0.500
Pb2 0.750 0.250 0.500


# 8
Compound: PrDy2Ho3Te6
Source: the Alexandria database
Functional: PBE
Structure: optimized geometry

Results
As for the uncorrected formation energy: -1.29 eV/atom. The density of states at the Fermi level comes out at 6.68 states/eV/cell.

Cell lengths 4.344, 8.811, 9.786 Å; angles 103.02, 102.82, 90.00 degrees
Element x y z (fractional)
Ho1 0.500 0.500 0.000
Ho2 0.161 0.833 0.322
Ho3 0.839 0.167 0.678
Te1 0.327 0.915 0.654
Te2 0.332 0.416 0.665
Te3 0.673 0.085 0.346
Te4 0.668 0.584 0.335
Te5 0.999 0.738 0.998
Te6 0.001 0.262 0.002
Dy1 0.164 0.328 0.328
Dy2 0.836 0.672 0.672
Pr1 0.500 0.000 0.000


The evaluated total magnetic moment for the records listed, in turn: 0.000 0.927 8.322 0.000 0.000 0.000 0.000 0.000 μB per formula unit.